# CeSBr

A relaxed CeSBr crystal (GGA-PBE, Alexandria via LeMat-Bulk).

## Properties
As for the space group: No. 69. The value obtained for the total DFT energy (no corrections) is -5.75 eV/atom.

Cell lengths 7.910, 7.908, 4.894 Å; angles 72.00, 71.95, 36.04 degrees
Fractional positions:
Ce (0.150, 0.150, 0.850)
Ce (0.850, 0.850, 0.150)
S (0.250, 0.250, 0.250)
S (0.750, 0.750, 0.750)
Br (0.000, 0.000, 0.500)
Br (0.500, 0.500, 0.000)